Model P:
## ErTm2Be (PBE)

Data for crystalline ErTm2Be at its relaxed geometry.

```
ErTm2Be
1.0
3.3767 0.0000 0.0000
1.6883 2.9243 0.0000
1.6883 0.9748 11.2411
Er Be Tm
1 1 2
Direct
0.5000 0.5000 0.5000
0.0000 0.0000 0.0000
0.0844 0.0844 0.7467
0.9156 0.9156 0.2533
```

Summary:
symmetry = R-3m, No. 166
volume = 27.75 A^3/atom



Model Q:
## ErTm2Be (PBE)

Data for crystalline ErTm2Be at its relaxed geometry.

```
ErTm2Be
1.0
-0.1069 2.8733 -1.8431
-2.7657 1.0080 1.7317
4.9573 3.8322 5.6866
Tm Er Be
2 1 1
Direct
0.0000 0.0000 0.8066
0.0000 0.0000 0.1934
0.5000 0.5000 0.5000
0.5000 0.5000 0.0000
```

Summary:
symmetry = P4/mmm, No. 123
volume = 24.67 A^3/atom



model Q is the most stable structure; the next one sits 619 meV per atom above it.